# 1
! CdBiPb PBE-GGA relaxed; values from VASP
! * formation energy: 1.8 kcal/mol of atoms
! * space-group type: I4mm, No. 107
! * calculated total energy: -2.755 eV per atom
&SYSTEM
  ibrav = 0, nat = 3, ntyp = 3
/
ATOMIC_SPECIES
Pb 207.20 Pb.upf
Bi 208.98 Bi.upf
Cd 112.41 Cd.upf
CELL_PARAMETERS angstrom
3.2961 0.0000 0.0000
0.0000 3.2961 0.0000
-1.6481 -1.6481 8.7426
ATOMIC_POSITIONS angstrom
Pb 0.0000 0.0000 2.3744
Bi 1.6481 1.6481 7.7353
Cd 1.6480 1.6480 4.7527



# 2
! CdBiPb PBE-GGA relaxed; values from VASP
! * formation energy: 1.0 kcal/mol of atoms
! * space-group type: F-43m, No. 216
! * calculated total energy: -2.792 eV per atom
&SYSTEM
  ibrav = 0, nat = 3, ntyp = 3
/
ATOMIC_SPECIES
Pb 207.20 Pb.upf
Bi 208.98 Bi.upf
Cd 112.41 Cd.upf
CELL_PARAMETERS angstrom
5.1747 0.0000 0.0000
2.5873 4.4814 0.0000
2.5873 1.4938 4.2251
ATOMIC_POSITIONS angstrom
Pb 5.1747 2.9876 2.1125
Bi 0.0000 0.0000 0.0000
Cd 2.5873 1.4938 1.0563



# 3
! Cd2BiPb4 PBE-GGA relaxed; values from VASP
! * formation energy: 1.9 kcal/mol of atoms
! * space-group type: R-3m, No. 166
! * calculated total energy: -2.853 eV per atom
&SYSTEM
  ibrav = 0, nat = 7, ntyp = 3
/
ATOMIC_SPECIES
Cd 112.41 Cd.upf
Bi 208.98 Bi.upf
Pb 207.20 Pb.upf
CELL_PARAMETERS angstrom
-1.3592 1.7658 4.3969
2.8683 -0.7282 3.9422
5.7711 9.6610 0.6673
ATOMIC_POSITIONS angstrom
Cd 2.0704 2.5737 5.1327
Cd 5.2099 8.1250 3.8737
Bi 3.6401 5.3493 4.5032
Pb 6.2769 9.4682 6.4273
Pb 3.2834 4.1750 7.6277
Pb 1.0033 1.2305 2.5791
Pb 3.9968 6.5237 1.3787